# PBE CsTl3Fe4I12, optimized geometry
# **Formation energy without anion corrections**: -334 meV/atom
# **Volume**: 3345 Å³/cell
data_CsTl3Fe4I12
_chemical_formula_sum 'Cs3 Tl9 Fe12 I36'
_cell_length_a 16.7283
_cell_length_b 16.7283
_cell_length_c 13.8012
_cell_angle_alpha 90.00
_cell_angle_beta 90.00
_cell_angle_gamma 120.00
_symmetry_space_group_name_H-M 'R 3 2'
_symmetry_Int_Tables_number 155
_symmetry_space_group_name_Hall 'R 3 2"'
loop_
_atom_site_label
_atom_site_fract_x
_atom_site_fract_y
_atom_site_fract_z
Cs1 0.0000 0.0000 0.0000
Tl1 0.0000 0.5414 0.0000
Fe1 0.0000 0.0000 0.5000
Fe2 0.0000 0.4504 0.5000
I1 0.0000 0.6023 0.5000
I2 0.0000 0.8485 0.5000
I3 0.0328 0.2121 0.1630